Compound: Ta2Re
Source: Alexandria via LeMat-Bulk
Functional: GGA-PBE
Structure: relaxed

Summary:
Formation energy from the elements: -155.9 meV/atom
Symmetry: Pnma (62)

Cell: 5.4947 4.5751 8.2048 Å, 90.00 90.00 90.00°
Last column: nearest neighbours and their distance in Å.
Positions (direct):
Re (0.1744, 0.2500, 0.9260)  8 Ta 2.71-2.86
Re (0.3256, 0.7500, 0.4260)  8 Ta 2.71-2.86
Re (0.6744, 0.2500, 0.5740)  8 Ta 2.71-2.86
Re (0.8256, 0.7500, 0.0740)  8 Ta 2.71-2.86
Ta (0.0162, 0.2500, 0.2394)  3 Re 2.71-2.86, 5 Ta 2.75-2.95
Ta (0.1714, 0.2500, 0.5833)  5 Re 2.73-2.81, 3 Ta 2.90-2.95
Ta (0.3286, 0.7500, 0.0833)  5 Re 2.73-2.81, 3 Ta 2.90-2.95
Ta (0.4838, 0.7500, 0.7394)  3 Re 2.71-2.86, 5 Ta 2.75-2.95
Ta (0.5162, 0.2500, 0.2606)  3 Re 2.71-2.86, 5 Ta 2.75-2.95
Ta (0.6714, 0.2500, 0.9167)  5 Re 2.73-2.81, 3 Ta 2.90-2.95
Ta (0.8286, 0.7500, 0.4167)  5 Re 2.73-2.81, 3 Ta 2.90-2.95
Ta (0.9838, 0.7500, 0.7606)  3 Re 2.71-2.86, 5 Ta 2.75-2.95

---

Compound: Ta3Re5
Source: Alexandria via LeMat-Bulk
Functional: GGA-PBE
Structure: relaxed

Summary:
Formation energy from the elements: 211.3 meV/atom
Symmetry: P6_3/mcm (193)
Excess energy over the best structure of this formula in the dataset: 428 meV/atom

Cell: 7.7506 7.7508 5.1254 Å, 90.00 90.00 60.00°
Last column: nearest neighbours and their distance in Å.
Positions (direct):
Re (0.7821, 0.0000, 0.2500)  4 Ta 2.65-2.90, 2 Re 2.92-2.93
Re (0.2179, 0.0000, 0.7500)  4 Ta 2.65-2.90, 2 Re 2.92-2.93
Re (0.0000, 0.2179, 0.2500)  4 Ta 2.65-2.90, 2 Re 2.93
Re (0.7821, 0.2179, 0.7500)  4 Ta 2.65-2.90, 2 Re 2.92-2.93
Re (0.3333, 0.3333, 0.0000)  2 Re 2.56, 6 Ta 2.71
Re (0.3333, 0.3333, 0.5000)  2 Re 2.56, 6 Ta 2.71
Re (0.6667, 0.6667, 0.0000)  2 Re 2.56, 6 Ta 2.71
Re (0.6667, 0.6667, 0.5000)  2 Re 2.56, 6 Ta 2.71
Re (0.0000, 0.7821, 0.7500)  4 Ta 2.65-2.90, 2 Re 2.92
Re (0.2179, 0.7821, 0.2500)  4 Ta 2.65-2.90, 2 Re 2.92-2.93
Ta (0.6064, 0.0000, 0.7500)  8 Re 2.65-2.90
Ta (0.3936, 0.0000, 0.2500)  8 Re 2.65-2.90
Ta (0.0000, 0.3937, 0.7500)  8 Re 2.65-2.90
Ta (0.6064, 0.3936, 0.2500)  8 Re 2.65-2.90
Ta (0.0000, 0.6064, 0.2500)  8 Re 2.65-2.90
Ta (0.3936, 0.6064, 0.7500)  8 Re 2.65-2.90

---

Compound: TaRe2
Source: Alexandria via LeMat-Bulk
Functional: GGA-PBE
Structure: relaxed

Summary:
Formation energy from the elements: 580.2 meV/atom
Symmetry: P-62m (189)

Cell: 6.4453 6.4453 4.2775 Å, 90.00 90.00 120.00°
Last column: nearest neighbours and their distance in Å.
Positions (direct):
Ta (0.0000, 0.0000, 0.5000)  9 Re 2.64-2.86
Ta (0.3333, 0.6667, 0.0000)  3 Re 2.50
Ta (0.6667, 0.3333, 0.0000)  3 Re 2.50
Re (0.0000, 0.2407, 0.0000)  4 Ta 2.50-2.64, 2 Re 2.69
Re (0.0000, 0.5557, 0.5000)  5 Ta 2.86, 2 Re 2.95
Re (0.2407, 0.0000, 0.0000)  4 Ta 2.50-2.64, 2 Re 2.69
Re (0.7593, 0.7593, 0.0000)  4 Ta 2.50-2.64, 2 Re 2.69
Re (0.5557, 0.0000, 0.5000)  5 Ta 2.86, 2 Re 2.95
Re (0.4443, 0.4443, 0.5000)  5 Ta 2.86, 2 Re 2.95

---

Question: formation energy from the elements of number 1 (Ta2Re)?
Answer: -155.9 meV/atom

---

Question: The highest formation energy from the elements belongs to which entry?
Answer: TaRe2